First-principles (GGA-PBEsol) data for an optimized crystal structure of ZrAg3Hg, as listed in Alexandria via LeMat-Bulk.

energy of formation	0.95	eV/atom
total magnetic moment	1.7	μB/cell
DFT total energy	-14.839	eV/cell

Cell and atoms, written as CIF:
```
data_ZrAg3Hg
_chemical_formula_sum 'Zr1 Ag3 Hg1'
_space_group_name_H-M_alt 'P m -3 m'
_space_group_IT_number 221
_space_group_name_Hall '-P 4 2 3'
_cell_length_a 4.974
_cell_length_b 4.974
_cell_length_c 4.974
_cell_angle_alpha 90.00
_cell_angle_beta 90.00
_cell_angle_gamma 90.00
loop_
_atom_site_label
_atom_site_fract_x
_atom_site_fract_y
_atom_site_fract_z
Zr1 0.000 0.000 0.000
Ag1 0.000 0.500 0.500
Hg1 0.500 0.500 0.500
```